# SCAN CrAuSeBr2, single point on PBEsol structure
data_CrAuSeBr2
_space_group_name_H-M_alt 'P 1'
_space_group_IT_number 1
_space_group_name_Hall 'P 1'
_cell_length_a 5.084
_cell_length_b 5.084
_cell_length_c 5.166
_cell_angle_alpha 90.00
_cell_angle_beta 90.00
_cell_angle_gamma 90.00
loop_
_atom_site_label
_atom_site_fract_x
_atom_site_fract_y
_atom_site_fract_z
Cr1 0.000 0.000 0.000
Au1 0.500 0.500 0.500
Se1 0.500 0.500 0.000
Br1 0.000 0.500 0.500
Br2 0.500 0.000 0.500
# Raw formation energy ... 0.29 eV per atom
# Electronic total energy ... -29.016 eV per atom
# M_tot ... 0.879 μB per atom
# Space-group type ... P4/mmm, No. 123